[1]
A plane-wave DFT calculation with PBE was carried out for BaLi2GaIr after structural relaxation.

Unit cell a=4.982 b=4.982 c=4.824 alpha=90.00 beta=90.00 gamma=90.00
Atoms (fractional coordinates):
Ba: 0.500 0.500 0.500
Li: 0.500 0.000 0.000
Li: 0.000 0.500 0.000
Ir: 0.000 0.000 0.000
Ga: 0.000 0.000 0.500

## Properties
Magnetization = 0.00 μB per formula unit
SG = P4/mmm, No. 123
Raw total energy = -18.74 eV per formula unit
Calculated volume = 23.95 A^3/atom

***

[2]
A plane-wave DFT calculation with PBE was carried out for Ba2LiGaIr after structural relaxation.

Unit cell a=6.143 b=6.143 c=4.879 alpha=90.00 beta=90.00 gamma=90.00
Atoms (fractional coordinates):
Ba: 0.000 0.500 0.000
Ba: 0.500 0.000 0.000
Ir: 0.000 0.000 0.000
Ga: 0.000 0.000 0.500
Li: 0.500 0.500 0.500

## Properties
Magnetization = 0.00 μB per formula unit
SG = P4/mmm, No. 123
Raw total energy = -18.50 eV per formula unit
Calculated volume = 36.83 A^3/atom

***

[3]
A plane-wave DFT calculation with PBE was carried out for BaMgGaIr after structural relaxation.

Unit cell a=4.402 b=4.402 c=12.175 alpha=90.00 beta=90.00 gamma=90.00
Atoms (fractional coordinates):
Ir: 0.750 0.250 0.000
Ir: 0.250 0.750 0.000
Mg: 0.250 0.750 0.500
Mg: 0.750 0.250 0.500
Ba: 0.250 0.250 0.780
Ba: 0.750 0.750 0.220
Ga: 0.750 0.750 0.903
Ga: 0.250 0.250 0.097

## Properties
Magnetization = 0.00 μB per formula unit
SG = P4/nmm, No. 129
Raw total energy = -16.37 eV per formula unit
Calculated volume = 29.49 A^3/atom

***

[4]
A plane-wave DFT calculation with PBE was carried out for BaMg2GaIr2 after structural relaxation.

Unit cell a=4.736 b=4.736 c=6.484 alpha=90.00 beta=90.00 gamma=90.00
Atoms (fractional coordinates):
Mg: 0.500 0.500 0.225
Mg: 0.500 0.500 0.775
Ir: 0.000 0.500 0.000
Ir: 0.500 0.000 0.000
Ba: 0.000 0.000 0.500
Ga: 0.000 0.000 0.000

## Properties
Magnetization = 0.00 μB per formula unit
SG = P4/mmm, No. 123
Raw total energy = -26.97 eV per formula unit
Calculated volume = 24.24 A^3/atom

***

[5]
A plane-wave DFT calculation with PBE was carried out for Ba2MgGaIr2 after structural relaxation.

Unit cell a=6.226 b=6.311 c=9.085 alpha=110.32 beta=110.04 gamma=90.00
Atoms (fractional coordinates):
Ir: 0.361 0.591 0.182
Ir: 0.179 0.909 0.818
Ir: 0.639 0.409 0.818
Ir: 0.821 0.091 0.182
Mg: 0.000 0.250 0.000
Mg: 0.000 0.750 0.000
Ba: 0.581 0.832 0.663
Ba: 0.419 0.168 0.337
Ba: 0.917 0.668 0.337
Ba: 0.083 0.332 0.663
Ga: 0.500 0.250 0.000
Ga: 0.500 0.750 0.000

## Properties
Magnetization = 0.00 μB per formula unit
SG = Ibam, No. 72
Raw total energy = -28.11 eV per formula unit
Calculated volume = 25.97 A^3/atom

***

[6]
A plane-wave DFT calculation with PBE was carried out for Ba2MgGaIr after structural relaxation.

Unit cell a=6.150 b=6.150 c=4.866 alpha=90.00 beta=90.00 gamma=90.00
Atoms (fractional coordinates):
Mg: 0.500 0.500 0.500
Ir: 0.000 0.000 0.000
Ba: 0.500 0.000 0.000
Ba: 0.000 0.500 0.000
Ga: 0.000 0.000 0.500

## Properties
Magnetization = 0.00 μB per formula unit
SG = P4/mmm, No. 123
Raw total energy = -18.10 eV per formula unit
Calculated volume = 36.81 A^3/atom

***

[7]
A plane-wave DFT calculation with PBE was carried out for BaMgGa2Ir after structural relaxation.

Unit cell a=4.892 b=4.892 c=5.075 alpha=90.00 beta=90.00 gamma=90.00
Atoms (fractional coordinates):
Ir: 0.000 0.000 0.000
Ga: 0.000 0.500 0.000
Ga: 0.500 0.000 0.000
Mg: 0.000 0.000 0.500
Ba: 0.500 0.500 0.500

## Properties
Magnetization = 0.00 μB per formula unit
SG = P4/mmm, No. 123
Raw total energy = -20.83 eV per formula unit
Calculated volume = 24.29 A^3/atom

***

[8]
A plane-wave DFT calculation with PBE was carried out for Ba2MgGa12Ir3 after structural relaxation.

Unit cell a=8.393 b=8.393 c=8.393 alpha=68.93 beta=68.93 gamma=68.93
Atoms (fractional coordinates):
Ga: 0.879 0.352 0.879
Ga: 0.879 0.879 0.352
Ga: 0.648 0.121 0.121
Ga: 0.270 0.270 0.943
Ga: 0.730 0.057 0.730
Ga: 0.057 0.730 0.730
Ga: 0.270 0.943 0.270
Ga: 0.730 0.730 0.057
Ga: 0.943 0.270 0.270
Ga: 0.121 0.121 0.648
Ga: 0.352 0.879 0.879
Ga: 0.121 0.648 0.121
Mg: 0.000 0.000 0.000
Ir: 0.000 0.000 0.500
Ir: 0.500 0.000 0.000
Ir: 0.000 0.500 0.000
Ba: 0.614 0.614 0.614
Ba: 0.386 0.386 0.386

## Properties
Magnetization = 0.04 μB per formula unit
SG = R-3m, No. 166
Raw total energy = -70.66 eV per formula unit
Calculated volume = 27.58 A^3/atom

***

[9]
A plane-wave DFT calculation with PBE was carried out for BaGa2IrN after structural relaxation.

Unit cell a=5.339 b=3.800 c=5.339 alpha=90.00 beta=90.00 gamma=90.00
Atoms (fractional coordinates):
Ir: 0.000 0.500 0.000
Ga: 0.500 0.000 0.000
Ga: 0.000 0.000 0.500
Ba: 0.500 0.500 0.500
N: 0.000 0.000 0.000

## Properties
Magnetization = 0.00 μB per formula unit
SG = P4/mmm, No. 123
Formation energy from raw total energies = 0.2003 eV per atom
Raw total energy = -24.16 eV per formula unit
Calculated volume = 21.66 A^3/atom

***

[10]
A plane-wave DFT calculation with PBE was carried out for BaNaGa2Ir after structural relaxation.

Unit cell a=4.865 b=4.865 c=5.431 alpha=90.00 beta=90.00 gamma=90.00
Atoms (fractional coordinates):
Ir: 0.000 0.000 0.000
Ga: 0.000 0.500 0.000
Ga: 0.500 0.000 0.000
Ba: 0.500 0.500 0.500
Na: 0.000 0.000 0.500

## Properties
Magnetization = 0.00 μB per formula unit
SG = P4/mmm, No. 123
Raw total energy = -19.74 eV per formula unit
Calculated volume = 25.70 A^3/atom

***

[11]
A plane-wave DFT calculation with PBE was carried out for BaGaNiIr after structural relaxation.

Unit cell a=4.316 b=4.312 c=6.201 alpha=110.44 beta=90.00 gamma=120.03
Atoms (fractional coordinates):
Ir: 0.117 0.234 0.993
Ba: 0.616 0.232 0.489
Ga: 0.806 0.612 0.060
Ni: 0.427 0.855 0.925

## Properties
Magnetization = 0.00 μB per formula unit
SG = Cm, No. 8
Raw total energy = -20.85 eV per formula unit
Calculated volume = 22.85 A^3/atom

***

[12]
A plane-wave DFT calculation with PBE was carried out for BaGa2NiIr after structural relaxation.

Unit cell a=4.231 b=4.231 c=7.466 alpha=90.00 beta=90.00 gamma=120.00
Atoms (fractional coordinates):
Ba: 0.000 0.000 0.000
Ga: 0.667 0.333 0.643
Ga: 0.333 0.667 0.357
Ni: 0.667 0.333 0.312
Ir: 0.333 0.667 0.689

## Properties
Magnetization = 0.00 μB per formula unit
SG = P3m1, No. 156
Raw total energy = -23.46 eV per formula unit
Calculated volume = 23.15 A^3/atom